Entry 1:
{
  "formula": "Ca3Sb2",
  "functional": "PBE",
  "state": "optimized geometry",
  "magnetic_moment_mub_per_atom": 0.000,
  "space_group": "No. 43",
  "cell": [[4.534, -6.371, 2.435], [-1.448, -7.834, -2.503], [4.773, -3.323, -5.337]],
  "species": ["Sb", "Sb", "Ca", "Ca", "Ca", "Ca", "Sb", "Sb", "Ca", "Ca"],
  "fractional_positions": [[0.268, 0.783, 0.267], [0.467, 0.982, 0.567], [0.073, 0.927, 0.927], [0.612, 0.582, 0.942], [0.668, 0.638, 0.386], [0.308, 0.386, 0.638], [0.983, 0.567, 0.982], [0.683, 0.267, 0.783], [0.323, 0.177, 0.177], [0.864, 0.942, 0.582]]
}



Entry 2:
{
  "formula": "Pm4DyN5",
  "functional": "PBE",
  "state": "optimized geometry",
  "dos_at_fermi_per_ev_atom": 0.0656,
  "magnetic_moment_mub_per_atom": 0.000,
  "space_group": "No. 79",
  "cell": [[-3.346, -2.126, -3.204], [2.290, -1.214, -5.642], [-0.083, -6.206, 0.150]],
  "species": ["N", "N", "N", "N", "Pm", "Pm", "N", "Dy", "Pm", "Pm"],
  "fractional_positions": [[0.897, 0.393, 0.804], [0.485, 0.000, 0.000], [0.093, 0.607, 0.196], [0.290, 0.804, 0.607], [0.609, 0.600, 0.198], [0.209, 0.198, 0.400], [0.701, 0.196, 0.393], [0.012, 0.000, 0.000], [0.807, 0.802, 0.600], [0.408, 0.400, 0.802]]
}



no.,ΔE_f (raw) (eV per formula unit)
1,-4.5
2,-14.8